# K4Y3VO8, optimized geometry, DFT PBE with a Hubbard U
# Calculated total energy: -6.9143 eV/atom
# ρ: 3.986 g/cm3
# Fermi-level density of states: 0.00 states/eV/cell
data_K4Y3VO8
_chemical_formula_sum 'K4 Y3 V1 O8'
_symmetry_space_group_name_H-M 'P 1'
_symmetry_Int_Tables_number 1
_cell_length_a 6.837
_cell_length_b 6.837
_cell_length_c 7.367
_cell_angle_alpha 117.65
_cell_angle_beta 117.65
_cell_angle_gamma 59.50
loop_
_symmetry_equiv_pos_as_xyz
'x,y,z'
loop_
_atom_site_label
_atom_site_type_symbol
_atom_site_fract_x
_atom_site_fract_y
_atom_site_fract_z
K1 K 0.000 0.000 0.000
K2 K 0.000 0.500 0.000
K3 K 0.500 0.000 0.000
K4 K 0.500 0.500 0.000
Y1 Y 0.000 0.000 0.500
Y2 Y 0.000 0.500 0.500
Y3 Y 0.500 0.000 0.500
V1 V 0.500 0.500 0.500
O1 O 0.228 0.228 0.688
O2 O 0.249 0.714 0.679
O3 O 0.271 0.271 0.310
O4 O 0.286 0.751 0.321
O5 O 0.714 0.249 0.679
O6 O 0.729 0.729 0.690
O7 O 0.751 0.286 0.321
O8 O 0.772 0.772 0.312